First-principles (GGA-PBE) data for a relaxed structure of Dy11Cd9Ag4, as listed in the Alexandria database.

Computed properties:
**ρ**: 8.9 g cm⁻³
**ΔH_f (0 K)**: -310 meV per atom
**Symmetry**: Cmmm (65)

Cell lengths 3.7197, 13.2725, 13.2725 Å; angles 112.48, 90.00, 90.00 degrees
Atoms (fractional coordinates):
Dy 0.0000 0.5864 0.9308
Dy 0.0000 0.4136 0.0692
Dy 0.0000 0.9308 0.5864
Dy 0.0000 0.0692 0.4136
Dy 0.0000 0.6399 0.3601
Dy 0.0000 0.3601 0.6399
Dy 0.0000 0.8358 0.1642
Dy 0.0000 0.1642 0.8358
Dy 0.0000 0.0000 0.0000
Dy 0.0000 0.7157 0.7157
Dy 0.0000 0.2843 0.2843
Cd 0.5000 0.6326 0.1530
Cd 0.5000 0.3674 0.8470
Cd 0.5000 0.1530 0.6326
Cd 0.5000 0.8470 0.3674
Cd 0.5000 0.7883 0.9383
Cd 0.5000 0.2117 0.0617
Cd 0.5000 0.9383 0.7883
Cd 0.5000 0.0617 0.2117
Cd 0.5000 0.5000 0.5000
Ag 0.5000 0.5504 0.7447
Ag 0.5000 0.4496 0.2553
Ag 0.5000 0.7447 0.5504
Ag 0.5000 0.2553 0.4496



First-principles (GGA-PBE) data for a relaxed structure of PaTi2Be, as listed in the Alexandria database.

Computed properties:
**ρ**: 8.3 g cm⁻³
**ΔH_f (0 K)**: 66 meV per atom
**Energy above the lowest structure with this stoichiometry**: 0.000 eV/atom
**Symmetry**: P4/mmm (123)

Cell lengths 2.9248, 2.9248, 7.8952 Å; angles 90.00, 90.00, 90.00 degrees
Atoms (fractional coordinates):
Be 0.5000 0.5000 0.0000
Pa 0.5000 0.5000 0.5000
Ti 0.0000 0.0000 0.8045
Ti 0.0000 0.0000 0.1955



First-principles (GGA-PBE) data for a relaxed structure of Li2Ho2ErIn2, as listed in the Alexandria database.

Computed properties:
**ρ**: 7.0 g cm⁻³
**ΔH_f (0 K)**: -214 meV per atom
**Symmetry**: R-3m (166)

Cell lengths 4.8262, 4.8262, 9.1978 Å; angles 74.79, 74.79, 60.00 degrees
Atoms (fractional coordinates):
Li 0.6051 0.6051 0.1848
Li 0.3949 0.3949 0.8152
Ho 0.1274 0.1274 0.6179
Ho 0.8726 0.8726 0.3821
Er 0.0000 0.0000 0.0000
In 0.7376 0.7376 0.7872
In 0.2624 0.2624 0.2128



First-principles (GGA-PBE) data for a relaxed structure of PdN2ClF, as listed in the Alexandria database.

Computed properties:
**ρ**: 4.6 g cm⁻³
**Formation energy without anion corrections**: 1.930 eV per atom
**Energy above the lowest structure with this stoichiometry**: 0.705 eV/atom
**Symmetry**: P4/mmm (123)

Cell lengths 3.5554, 3.5554, 5.3733 Å; angles 90.00, 90.00, 90.00 degrees
Site moments in Bohr magnetons follow the coordinates.
Atoms (fractional coordinates):
N 0.0000 0.5000 0.0000  0.23
N 0.5000 0.0000 0.0000  0.23
F 0.0000 0.0000 0.5000  0.12
Pd 0.5000 0.5000 0.5000  0.84
Cl 0.0000 0.0000 0.0000  -0.02



First-principles (GGA-PBE) data for a relaxed structure of BaNa2Ca, as listed in the Alexandria database.

Computed properties:
**ρ**: 2.1 g cm⁻³
**ΔH_f (0 K)**: 45 meV per atom
**Energy above the lowest structure with this stoichiometry**: 0.012 eV/atom
**Symmetry**: P4/mmm (123)

Cell lengths 4.4613, 4.4613, 9.0109 Å; angles 90.00, 90.00, 90.00 degrees
Atoms (fractional coordinates):
Na 0.0000 0.0000 0.7776
Na 0.0000 0.0000 0.2224
Ca 0.5000 0.5000 0.0000
Ba 0.5000 0.5000 0.5000



First-principles (GGA-PBE) data for a relaxed structure of SrLi2GaNi, as listed in the Alexandria database.

Computed properties:
**ρ**: 3.6 g cm⁻³
**ΔH_f (0 K)**: -145 meV per atom
**Symmetry**: P4/mmm (123)

Cell lengths 4.7961, 4.7961, 4.6320 Å; angles 90.00, 90.00, 90.00 degrees
Atoms (fractional coordinates):
Sr 0.5000 0.5000 0.5000
Li 0.0000 0.5000 0.0000
Li 0.5000 0.0000 0.0000
Ga 0.0000 0.0000 0.5000
Ni 0.0000 0.0000 0.0000



| no. | magnetization (μB per atom) |
| --- | --- |
| 1 | 0.0000 |
| 2 | 0.0032 |
| 3 | 0.0000 |
| 4 | 0.3193 |
| 5 | 0.0000 |
| 6 | 0.0000 |